1.
A geometry-optimized KLa2Tc structure, computed with PBE.

Summary:
Excess energy over the best structure of this formula in the dataset = 0.451 eV per atom
Calculated volume = 31.91 A^3/atom
N(E_F) = 1.210 states/eV/atom
Formation energy from the elements = 0.58 eV/atom

a = 3.729 Å, b = 5.781 Å, c = 11.844 Å
α = 90.00°, β = 90.00°, γ = 90.00°
Space group Cmm2 (No. 35)
Inequivalent atoms, fractional coordinates:
K1 0.000 0.000 0.000 x2
La1 0.000 0.000 0.387 x2
La2 0.000 0.500 0.674 x2
Tc1 0.000 0.500 0.239 x2

2.
A geometry-optimized KLaTc2 structure, computed with PBE.

Summary:
Excess energy over the best structure of this formula in the dataset = 0.000 eV per atom
Calculated volume = 33.30 A^3/atom
N(E_F) = 1.073 states/eV/atom
Formation energy from the elements = 0.40 eV/atom

a = 7.168 Å, b = 4.136 Å, c = 9.251 Å
α = 90.00°, β = 103.72°, γ = 90.00°
Space group Cm (No. 8)
Inequivalent atoms, fractional coordinates:
K1 0.000 0.000 0.000 x2
La1 0.166 0.000 0.538 x2
Tc1 0.255 0.500 0.289 x2
Tc2 0.434 0.000 0.328 x2

3.
A geometry-optimized KLa2Tc structure, computed with PBE.

Summary:
Excess energy over the best structure of this formula in the dataset = 0.000 eV per atom
Calculated volume = 36.20 A^3/atom
N(E_F) = 1.099 states/eV/atom
Formation energy from the elements = 0.13 eV/atom

a = 4.565 Å, b = 5.668 Å, c = 11.193 Å
α = 90.00°, β = 90.00°, γ = 90.00°
Space group Cmmm (No. 65)
Inequivalent atoms, fractional coordinates:
K1 0.000 0.000 0.000 x2
La1 0.000 0.500 0.345 x4
Tc1 0.000 0.000 0.500 x2

4.
A geometry-optimized K2LaTc structure, computed with PBE.

Summary:
Excess energy over the best structure of this formula in the dataset = 0.456 eV per atom
Calculated volume = 33.07 A^3/atom
N(E_F) = 1.254 states/eV/atom
Formation energy from the elements = 0.97 eV/atom

a = 4.450 Å, b = 4.450 Å, c = 13.364 Å
α = 90.00°, β = 90.00°, γ = 90.00°
Space group I4/mmm (No. 139)
Inequivalent atoms, fractional coordinates:
K1 0.000 0.500 0.250 x4
La1 0.000 0.000 0.000 x2
Tc1 0.000 0.000 0.500 x2

5.
A geometry-optimized KLaTc2 structure, computed with PBE.

Summary:
Excess energy over the best structure of this formula in the dataset = 0.818 eV per atom
Calculated volume = 21.38 A^3/atom
N(E_F) = 1.455 states/eV/atom
Formation energy from the elements = 1.22 eV/atom

a = 2.9435 Å, b = 2.9435 Å, c = 34.1910 Å
α = 90.00°, β = 90.00°, γ = 120.00°
Space group R-3m (No. 166, hexagonal axes)
Inequivalent atoms, fractional coordinates:
K1 0.0000 0.0000 0.0000 x3
La1 0.0000 0.0000 0.5000 x3
Tc1 0.0000 0.0000 0.2468 x6

6.
A geometry-optimized K2LaTc structure, computed with PBE.

Summary:
Excess energy over the best structure of this formula in the dataset = 0.000 eV per atom
Calculated volume = 40.43 A^3/atom
N(E_F) = 0.911 states/eV/atom
Formation energy from the elements = 0.52 eV/atom

a = 3.439 Å, b = 4.420 Å, c = 21.281 Å
α = 90.00°, β = 90.00°, γ = 90.00°
Space group Immm (No. 71)
Inequivalent atoms, fractional coordinates:
K1 0.000 0.000 0.154 x4
La1 0.000 0.500 0.000 x2
Tc1 0.000 0.500 0.500 x2

7.
A geometry-optimized KLaTc4 structure, computed with PBE.

Summary:
Calculated volume = 19.72 A^3/atom
N(E_F) = 1.325 states/eV/atom
Formation energy from the elements = 0.70 eV/atom

a = 7.792 Å, b = 7.792 Å, c = 7.792 Å
α = 90.00°, β = 90.00°, γ = 90.00°
Space group F-43m (No. 216)
Inequivalent atoms, fractional coordinates:
K1 0.000 0.000 0.000 x4
La1 0.250 0.250 0.750 x4
Tc1 0.125 0.125 0.375 x16

8.
A geometry-optimized K2LaTc structure, computed with PBE.

Summary:
Excess energy over the best structure of this formula in the dataset = 0.156 eV per atom
Calculated volume = 40.94 A^3/atom
N(E_F) = 1.066 states/eV/atom
Formation energy from the elements = 0.67 eV/atom

a = 4.284 Å, b = 6.621 Å, c = 11.547 Å
α = 90.00°, β = 90.00°, γ = 90.00°
Space group Imm2 (No. 44)
Inequivalent atoms, fractional coordinates:
K1 0.000 0.000 0.000 x2
K2 0.000 0.500 0.185 x2
La1 0.000 0.500 0.821 x2
Tc1 0.000 0.000 0.416 x2